Density functional theory data (PBEsol) for crystalline LiIn2Re at its relaxed geometry. Values from VASP.

## Properties
As for the density of states at the Fermi level: 0.654 states/eV per atom. The calculated formation energy is 0.28 eV per atom. The value obtained for the total moment is 0.2 μB/cell. The calculation puts the total energy at -20.128 eV per cell.

```
&SYSTEM
  ibrav = 0, nat = 4, ntyp = 3
/
ATOMIC_SPECIES
In 114.82 In.upf
Li 6.94 Li.upf
Re 186.21 Re.upf
CELL_PARAMETERS angstrom
3.2391 0.0000 0.0000
0.0000 4.4388 0.0000
-1.6196 -2.2194 4.7751
ATOMIC_POSITIONS crystal
In 0.9902 0.9902 0.9805
In 0.7548 0.2548 0.5096
Li 0.5106 0.5106 0.0213
Re 0.2443 0.7443 0.4886
```